# 1
# CuPt2 (GGA-PBE, relaxed)
# - ρ (g cm⁻³) = 17.14
# - crystal system = orthorhombic
# - E (eV per atom) = -5.468
# - energy relative to the elements (meV/atom) = -75
data_CuPt2
_space_group_name_H-M_alt 'I m m m'
_space_group_IT_number 71
_space_group_name_Hall '-I 2 2'
_cell_length_a 2.7430
_cell_length_b 3.8603
_cell_length_c 8.3010
_cell_angle_alpha 90.00
_cell_angle_beta 90.00
_cell_angle_gamma 90.00
loop_
_atom_site_label
_atom_site_type_symbol
_atom_site_fract_x
_atom_site_fract_y
_atom_site_fract_z
Cu1 Cu 0.0000 0.0000 0.0000
Pt1 Pt 0.0000 0.0000 0.3371

# 2
# Cu7Pt5 (GGA-PBE, relaxed)
# - ρ (g cm⁻³) = 14.28
# - crystal system = monoclinic
# - E (eV per atom) = -4.982
# - energy relative to the elements (meV/atom) = -75
data_Cu7Pt5
_space_group_name_H-M_alt 'C 1 2/m 1'
_space_group_IT_number 12
_cell_length_a 8.4644
_cell_length_b 4.3897
_cell_length_c 9.3365
_cell_angle_alpha 90.00
_cell_angle_beta 107.84
_cell_angle_gamma 90.00
loop_
_space_group_symop_operation_xyz
'x,y,z'
'-x,-y,-z'
'-x,y,-z'
'x,-y,z'
'x+1/2,y+1/2,z'
'-x+1/2,-y+1/2,-z'
'-x+1/2,y+1/2,-z'
'x+1/2,-y+1/2,z'
loop_
_atom_site_label
_atom_site_type_symbol
_atom_site_fract_x
_atom_site_fract_y
_atom_site_fract_z
Cu1 Cu 0.0000 0.0000 0.0000
Cu2 Cu 0.0708 0.0000 0.7309
Cu3 Cu 0.0718 0.5000 0.2524
Cu4 Cu 0.1781 0.0000 0.5079
Pt1 Pt 0.0000 0.5000 0.5000
Pt2 Pt 0.1706 0.5000 0.0213
Pt3 Pt 0.2426 0.0000 0.2456

# 3
# CuPt2 (GGA-PBE, relaxed)
# - ρ (g cm⁻³) = 17.23
# - crystal system = monoclinic
# - E (eV per atom) = -5.492
# - energy relative to the elements (meV/atom) = -99
data_CuPt2
_space_group_name_H-M_alt 'P 1 21/m 1'
_space_group_IT_number 11
_cell_length_a 7.6918
_cell_length_b 2.7502
_cell_length_c 8.2701
_cell_angle_alpha 90.00
_cell_angle_beta 90.13
_cell_angle_gamma 90.00
loop_
_space_group_symop_operation_xyz
'x,y,z'
'-x,-y,-z'
'-x,y+1/2,-z'
'x,-y+1/2,z'
loop_
_atom_site_label
_atom_site_type_symbol
_atom_site_fract_x
_atom_site_fract_y
_atom_site_fract_z
Cu1 Cu 0.1150 0.2500 0.0799
Cu2 Cu 0.1195 0.2500 0.7594
Pt1 Pt 0.1152 0.2500 0.4071
Pt2 Pt 0.3603 0.7500 0.9183
Pt3 Pt 0.3644 0.7500 0.5864
Pt4 Pt 0.3716 0.7500 0.2454

# 4
# CuPt2 (GGA-PBE, relaxed)
# - ρ (g cm⁻³) = 14.98
# - crystal system = cubic
# - E (eV per atom) = -4.832
# - energy relative to the elements (meV/atom) = 561
data_CuPt2
_space_group_name_H-M_alt 'P a -3'
_space_group_IT_number 205
_space_group_name_Hall '-P 2ac 2ab 3'
_cell_length_a 5.8593
_cell_length_b 5.8593
_cell_length_c 5.8593
_cell_angle_alpha 90.00
_cell_angle_beta 90.00
_cell_angle_gamma 90.00
loop_
_atom_site_label
_atom_site_type_symbol
_atom_site_fract_x
_atom_site_fract_y
_atom_site_fract_z
Cu1 Cu 0.0000 0.0000 0.0000
Pt1 Pt 0.1293 0.6293 0.8707

# 5
# Cu5Pt7 (GGA-PBE, relaxed)
# - ρ (g cm⁻³) = 16.32
# - crystal system = monoclinic
# - E (eV per atom) = -5.334
# - energy relative to the elements (meV/atom) = -103
data_Cu5Pt7
_space_group_name_H-M_alt 'P 1 2/m 1'
_space_group_IT_number 10
_cell_length_a 6.1072
_cell_length_b 3.8466
_cell_length_c 7.6731
_cell_angle_alpha 90.00
_cell_angle_beta 108.14
_cell_angle_gamma 90.00
loop_
_space_group_symop_operation_xyz
'x,y,z'
'-x,-y,-z'
'-x,y,-z'
'x,-y,z'
loop_
_atom_site_label
_atom_site_type_symbol
_atom_site_fract_x
_atom_site_fract_y
_atom_site_fract_z
Cu1 Cu 0.0000 0.0000 0.0000
Cu2 Cu 0.0010 0.5000 0.7616
Cu3 Cu 0.3292 0.5000 0.0810
Pt1 Pt 0.0000 0.0000 0.5000
Pt2 Pt 0.3225 0.0000 0.3188
Pt3 Pt 0.3252 0.0000 0.8437
Pt4 Pt 0.3313 0.5000 0.5855

# 6
# CuPt2 (GGA-PBE, relaxed)
# - ρ (g cm⁻³) = 17.19
# - crystal system = monoclinic
# - E (eV per atom) = -5.490
# - energy relative to the elements (meV/atom) = -97
data_CuPt2
_space_group_name_H-M_alt 'P 1 2/m 1'
_space_group_IT_number 10
_cell_length_a 6.1295
_cell_length_b 3.9030
_cell_length_c 7.7077
_cell_angle_alpha 90.00
_cell_angle_beta 108.09
_cell_angle_gamma 90.00
loop_
_space_group_symop_operation_xyz
'x,y,z'
'-x,-y,-z'
'-x,y,-z'
'x,-y,z'
loop_
_atom_site_label
_atom_site_type_symbol
_atom_site_fract_x
_atom_site_fract_y
_atom_site_fract_z
Cu1 Cu 0.1607 0.0000 0.4239
Cu2 Cu 0.1617 0.5000 0.6573
Pt1 Pt 0.1607 0.0000 0.9052
Pt2 Pt 0.1618 0.5000 0.1768
Pt3 Pt 0.4971 0.0000 0.7430
Pt4 Pt 0.5000 0.5000 0.0000
Pt5 Pt 0.5000 0.5000 0.5000

# 7
# Cu3Pt4 (GGA-PBE, relaxed)
# - ρ (g cm⁻³) = 16.13
# - crystal system = hexagonal
# - E (eV per atom) = -5.188
# - energy relative to the elements (meV/atom) = 19
data_Cu3Pt4
_space_group_name_H-M_alt 'P 6/m m m'
_space_group_IT_number 191
_space_group_name_Hall '-P 6 2'
_cell_length_a 4.7467
_cell_length_b 4.7467
_cell_length_c 5.1231
_cell_angle_alpha 90.00
_cell_angle_beta 90.00
_cell_angle_gamma 120.00
loop_
_atom_site_label
_atom_site_type_symbol
_atom_site_fract_x
_atom_site_fract_y
_atom_site_fract_z
Cu1 Cu 0.0000 0.5000 0.0000
Pt1 Pt 0.0000 0.0000 0.2546
Pt2 Pt 0.3333 0.6667 0.5000

# 8
# CuPt2 (GGA-PBE, relaxed)
# - ρ (g cm⁻³) = 17.12
# - crystal system = trigonal
# - E (eV per atom) = -5.504
# - energy relative to the elements (meV/atom) = -112
data_CuPt2
_space_group_name_H-M_alt 'P 3 m 1'
_space_group_IT_number 156
_cell_length_a 5.5023
_cell_length_b 5.5023
_cell_length_c 6.7134
_cell_angle_alpha 90.00
_cell_angle_beta 90.00
_cell_angle_gamma 120.00
loop_
_space_group_symop_operation_xyz
'x,y,z'
'-y,x-y,z'
'-x+y,-x,z'
'-y,-x,z'
'-x+y,y,z'
'x,x-y,z'
loop_
_atom_site_label
_atom_site_type_symbol
_atom_site_fract_x
_atom_site_fract_y
_atom_site_fract_z
Cu1 Cu 0.0000 0.0000 0.0000
Cu2 Cu 0.3303 0.1652 0.3267
Pt1 Pt 0.1656 0.3312 0.6552
Pt2 Pt 0.3333 0.6667 0.3266
Pt3 Pt 0.5010 0.0021 0.0062
Pt4 Pt 0.6667 0.3333 0.6578

# 9
# Cu3Pt7 (GGA-PBE, relaxed)
# - ρ (g cm⁻³) = 17.48
# - crystal system = triclinic
# - E (eV per atom) = -5.537
# - energy relative to the elements (meV/atom) = -80
data_Cu3Pt7
_space_group_name_H-M_alt 'P 1'
_space_group_IT_number 1
_cell_length_a 5.3219
_cell_length_b 7.2470
_cell_length_c 8.5343
_cell_angle_alpha 65.06
_cell_angle_beta 82.69
_cell_angle_gamma 84.43
loop_
_space_group_symop_operation_xyz
'x,y,z'
loop_
_atom_site_label
_atom_site_type_symbol
_atom_site_fract_x
_atom_site_fract_y
_atom_site_fract_z
Cu1 Cu 0.0000 0.0000 0.0000
Cu2 Cu 0.0196 0.8988 0.4810
Cu3 Cu 0.2139 0.7084 0.2769
Cu4 Cu 0.4171 0.5075 0.0771
Cu5 Cu 0.6203 0.3055 0.8817
Cu6 Cu 0.7185 0.7008 0.7822
Pt1 Pt 0.0971 0.4004 0.8992
Pt2 Pt 0.1151 0.3069 0.3758
Pt3 Pt 0.2016 0.7978 0.8021
Pt4 Pt 0.2984 0.1969 0.7057
Pt5 Pt 0.3131 0.1067 0.1774
Pt6 Pt 0.4018 0.5996 0.6015
Pt7 Pt 0.5031 0.9995 0.4996
Pt8 Pt 0.5187 0.9008 0.9849
Pt9 Pt 0.5904 0.4085 0.3942
Pt10 Pt 0.7034 0.8041 0.2968
Pt11 Pt 0.7947 0.2008 0.1951
Pt12 Pt 0.8203 0.0958 0.6823
Pt13 Pt 0.8970 0.6058 0.0961
Pt14 Pt 0.9183 0.5077 0.5815

# 10
# Cu5Pt3 (GGA-PBE, relaxed)
# - ρ (g cm⁻³) = 13.29
# - crystal system = hexagonal
# - E (eV per atom) = -4.827
# - energy relative to the elements (meV/atom) = -2
data_Cu5Pt3
_space_group_name_H-M_alt 'P 63/m c m'
_space_group_IT_number 193
_space_group_name_Hall '-P 6c 2'
_cell_length_a 7.4460
_cell_length_b 7.4460
_cell_length_c 4.7001
_cell_angle_alpha 90.00
_cell_angle_beta 90.00
_cell_angle_gamma 120.00
loop_
_atom_site_label
_atom_site_type_symbol
_atom_site_fract_x
_atom_site_fract_y
_atom_site_fract_z
Cu1 Cu 0.0000 0.2155 0.2500
Cu2 Cu 0.3333 0.6667 0.0000
Pt1 Pt 0.0000 0.3973 0.7500

# 11
# Cu4Pt3 (GGA-PBE, relaxed)
# - ρ (g cm⁻³) = 14.45
# - crystal system = trigonal
# - E (eV per atom) = -5.042
# - energy relative to the elements (meV/atom) = -112
data_Cu4Pt3
_space_group_name_H-M_alt 'R 3'
_space_group_IT_number 146
_space_group_name_Hall 'R 3'
_cell_length_a 7.0990
_cell_length_b 7.0990
_cell_length_c 6.6320
_cell_angle_alpha 90.00
_cell_angle_beta 90.00
_cell_angle_gamma 120.00
loop_
_atom_site_label
_atom_site_type_symbol
_atom_site_fract_x
_atom_site_fract_y
_atom_site_fract_z
Cu1 Cu 0.0000 0.0000 0.0000
Cu2 Cu 0.0468 0.2351 0.6696
Pt1 Pt 0.1415 0.7192 0.0018

# 12
# Cu7Pt5 (GGA-PBE, relaxed)
# - ρ (g cm⁻³) = 14.27
# - crystal system = trigonal
# - E (eV per atom) = -5.008
# - energy relative to the elements (meV/atom) = -102
data_Cu7Pt5
_space_group_name_H-M_alt 'P 3 m 1'
_space_group_IT_number 156
_cell_length_a 2.7173
_cell_length_b 2.7173
_cell_length_c 25.8510
_cell_angle_alpha 90.00
_cell_angle_beta 90.00
_cell_angle_gamma 120.00
loop_
_space_group_symop_operation_xyz
'x,y,z'
'-y,x-y,z'
'-x+y,-x,z'
'-y,-x,z'
'-x+y,y,z'
'x,x-y,z'
loop_
_atom_site_label
_atom_site_type_symbol
_atom_site_fract_x
_atom_site_fract_y
_atom_site_fract_z
Cu1 Cu 0.0000 0.0000 0.0000
Cu2 Cu 0.0000 0.0000 0.2456
Cu3 Cu 0.0000 0.0000 0.4917
Cu4 Cu 0.0000 0.0000 0.7374
Cu5 Cu 0.3333 0.6667 0.5686
Cu6 Cu 0.6667 0.3333 0.1689
Cu7 Cu 0.6667 0.3333 0.4148
Pt1 Pt 0.3333 0.6667 0.0844
Pt2 Pt 0.3333 0.6667 0.3302
Pt3 Pt 0.3333 0.6667 0.8207
Pt4 Pt 0.6667 0.3333 0.6531
Pt5 Pt 0.6667 0.3333 0.9167

# 13
# Cu7Pt5 (GGA-PBE, relaxed)
# - ρ (g cm⁻³) = 14.31
# - crystal system = triclinic
# - E (eV per atom) = -5.028
# - energy relative to the elements (meV/atom) = -122
data_Cu7Pt5
_space_group_name_H-M_alt 'P 1'
_space_group_IT_number 1
_cell_length_a 4.6712
_cell_length_b 4.6732
_cell_length_c 8.8446
_cell_angle_alpha 95.36
_cell_angle_beta 94.71
_cell_angle_gamma 119.89
loop_
_space_group_symop_operation_xyz
'x,y,z'
loop_
_atom_site_label
_atom_site_type_symbol
_atom_site_fract_x
_atom_site_fract_y
_atom_site_fract_z
Cu1 Cu 0.0000 0.0000 0.0000
Cu2 Cu 0.0815 0.4110 0.2460
Cu3 Cu 0.1641 0.8293 0.4926
Cu4 Cu 0.2505 0.2516 0.7466
Cu5 Cu 0.4086 0.0755 0.2469
Cu6 Cu 0.5841 0.9194 0.7463
Cu7 Cu 0.7535 0.7495 0.2467
Pt1 Pt 0.3356 0.6653 0.0023
Pt2 Pt 0.4929 0.4936 0.4903
Pt3 Pt 0.6660 0.3304 0.0029
Pt4 Pt 0.8287 0.1585 0.4906
Pt5 Pt 0.9219 0.5948 0.7464

# 14
# CuPt2 (GGA-PBE, relaxed)
# - ρ (g cm⁻³) = 17.03
# - crystal system = trigonal
# - E (eV per atom) = -5.405
# - energy relative to the elements (meV/atom) = -13
data_CuPt2
_space_group_name_H-M_alt 'P -3 m 1'
_space_group_IT_number 164
_space_group_name_Hall '-P 3 2"'
_cell_length_a 4.3391
_cell_length_b 4.3391
_cell_length_c 2.7138
_cell_angle_alpha 90.00
_cell_angle_beta 90.00
_cell_angle_gamma 120.00
loop_
_atom_site_label
_atom_site_type_symbol
_atom_site_fract_x
_atom_site_fract_y
_atom_site_fract_z
Cu1 Cu 0.0000 0.0000 0.0000
Pt1 Pt 0.3333 0.6667 0.2691

# 15
# CuPt2 (GGA-PBE, relaxed)
# - ρ (g cm⁻³) = 17.22
# - crystal system = orthorhombic
# - E (eV per atom) = -5.510
# - energy relative to the elements (meV/atom) = -117
data_CuPt2
_space_group_name_H-M_alt 'C m c m'
_space_group_IT_number 63
_space_group_name_Hall '-C 2c 2'
_cell_length_a 3.8304
_cell_length_b 11.6541
_cell_length_c 3.9203
_cell_angle_alpha 90.00
_cell_angle_beta 90.00
_cell_angle_gamma 90.00
loop_
_atom_site_label
_atom_site_type_symbol
_atom_site_fract_x
_atom_site_fract_y
_atom_site_fract_z
Cu1 Cu 0.0000 0.0815 0.2500
Pt1 Pt 0.0000 0.2538 0.7500
Pt2 Pt 0.0000 0.4210 0.2500

# 16
# Cu5Pt4 (GGA-PBE, relaxed)
# - ρ (g cm⁻³) = 14.63
# - crystal system = orthorhombic
# - E (eV per atom) = -5.054
# - energy relative to the elements (meV/atom) = -94
data_Cu5Pt4
_space_group_name_H-M_alt 'I m m m'
_space_group_IT_number 71
_space_group_name_Hall '-I 2 2'
_cell_length_a 3.7544
_cell_length_b 8.1470
_cell_length_c 8.1480
_cell_angle_alpha 90.00
_cell_angle_beta 90.00
_cell_angle_gamma 90.00
loop_
_atom_site_label
_atom_site_type_symbol
_atom_site_fract_x
_atom_site_fract_y
_atom_site_fract_z
Cu1 Cu 0.0000 0.0000 0.0000
Cu2 Cu 0.0000 0.0000 0.3390
Cu3 Cu 0.0000 0.3385 0.0000
Pt1 Pt 0.0000 0.3338 0.3333

# 17
# Cu5Pt3 (GGA-PBE, relaxed)
# - ρ (g cm⁻³) = 13.90
# - crystal system = monoclinic
# - E (eV per atom) = -4.962
# - energy relative to the elements (meV/atom) = -136
data_Cu5Pt3
_space_group_name_H-M_alt 'C 1 2/m 1'
_space_group_IT_number 12
_cell_length_a 9.0546
_cell_length_b 5.4875
_cell_length_c 4.5008
_cell_angle_alpha 90.00
_cell_angle_beta 105.30
_cell_angle_gamma 90.00
loop_
_space_group_symop_operation_xyz
'x,y,z'
'-x,-y,-z'
'-x,y,-z'
'x,-y,z'
'x+1/2,y+1/2,z'
'-x+1/2,-y+1/2,-z'
'-x+1/2,y+1/2,-z'
'x+1/2,-y+1/2,z'
loop_
_atom_site_label
_atom_site_type_symbol
_atom_site_fract_x
_atom_site_fract_y
_atom_site_fract_z
Cu1 Cu 0.0000 0.0000 0.0000
Cu2 Cu 0.0000 0.2457 0.5000
Cu3 Cu 0.2500 0.2500 0.0000
Pt1 Pt 0.0000 0.5000 0.0000
Pt2 Pt 0.2471 0.0000 0.4938

# 18
# CuPt2 (GGA-PBE, relaxed)
# - ρ (g cm⁻³) = 17.18
# - crystal system = monoclinic
# - E (eV per atom) = -5.495
# - energy relative to the elements (meV/atom) = -102
data_CuPt2
_space_group_name_H-M_alt 'C 1 m 1'
_space_group_IT_number 8
_cell_length_a 9.0859
_cell_length_b 8.2324
_cell_length_c 4.7608
_cell_angle_alpha 90.00
_cell_angle_beta 99.86
_cell_angle_gamma 90.00
loop_
_space_group_symop_operation_xyz
'x,y,z'
'x,-y,z'
'x+1/2,y+1/2,z'
'x+1/2,-y+1/2,z'
loop_
_atom_site_label
_atom_site_type_symbol
_atom_site_fract_x
_atom_site_fract_y
_atom_site_fract_z
Cu1 Cu 0.0000 0.0000 0.0000
Cu2 Cu 0.0001 0.1617 0.5075
Cu3 Cu 0.2427 0.0000 0.7537
Pt1 Pt 0.2444 0.1630 0.2555
Pt2 Pt 0.2499 0.3305 0.7509
Pt3 Pt 0.2582 0.5000 0.2541
Pt4 Pt 0.4945 0.0000 0.5083
Pt5 Pt 0.4971 0.1719 0.0055

# 19
# CuPt4 (GGA-PBE, relaxed)
# - ρ (g cm⁻³) = 18.61
# - crystal system = tetragonal
# - E (eV per atom) = -5.737
# - energy relative to the elements (meV/atom) = -85
data_CuPt4
_space_group_name_H-M_alt 'I 4/m'
_space_group_IT_number 87
_space_group_name_Hall '-I 4'
_cell_length_a 6.1884
_cell_length_b 6.1884
_cell_length_c 3.9331
_cell_angle_alpha 90.00
_cell_angle_beta 90.00
_cell_angle_gamma 90.00
loop_
_atom_site_label
_atom_site_type_symbol
_atom_site_fract_x
_atom_site_fract_y
_atom_site_fract_z
Cu1 Cu 0.0000 0.0000 0.0000
Pt1 Pt 0.1052 0.2993 0.5000

# 20
# Cu4Pt5 (GGA-PBE, relaxed)
# - ρ (g cm⁻³) = 15.82
# - crystal system = hexagonal
# - E (eV per atom) = -5.203
# - energy relative to the elements (meV/atom) = -26
data_Cu4Pt5
_space_group_name_H-M_alt 'P 63/m c m'
_space_group_IT_number 193
_space_group_name_Hall '-P 6c 2'
_cell_length_a 7.5187
_cell_length_b 7.5187
_cell_length_c 5.2730
_cell_angle_alpha 90.00
_cell_angle_beta 90.00
_cell_angle_gamma 120.00
loop_
_atom_site_label
_atom_site_type_symbol
_atom_site_fract_x
_atom_site_fract_y
_atom_site_fract_z
Cu1 Cu 0.0000 0.0000 0.0000
Cu2 Cu 0.0000 0.3389 0.2500
Pt1 Pt 0.0000 0.3231 0.7500
Pt2 Pt 0.3333 0.6667 0.0000